# 1
Ti6VNi5 PBE-GGA relaxed; formation enthalpy at 0 K = -3.553 eV/f.u.; calculated total energy = -7.41 eV per atom; crystal system = monoclinic; space group = No. 10; spin magnetization = 0.00 μB per formula unit
1.0
4.387 0.000 0.000
0.000 5.917 0.000
-1.851 0.000 6.384
Ti V Ni
6 1 5
Direct
0.000 0.249 0.000 Ti
0.000 0.751 0.000 Ti
0.353 0.252 0.665 Ti
0.353 0.748 0.665 Ti
0.647 0.252 0.335 Ti
0.647 0.748 0.335 Ti
0.500 0.500 0.000 V
0.122 0.500 0.324 Ni
0.123 0.000 0.329 Ni
0.500 0.000 0.000 Ni
0.877 0.000 0.671 Ni
0.878 0.500 0.676 Ni

# 2
ZrSi2As PBE-GGA relaxed; energy relative to the lowest polymorph listed for this composition = 4.4 kJ per mole of atoms; formation energy from raw total energies = -0.31 eV/atom; calculated total energy = -6.32 eV per atom; crystal system = monoclinic; space group = No. 6; spin magnetization = 0.00 μB per formula unit
1.0
3.680 0.000 0.000
0.000 3.741 0.000
-1.494 0.000 5.370
Zr Si As
1 2 1
Direct
0.000 0.000 0.000 Zr
0.166 0.000 0.528 Si
0.450 0.500 0.756 Si
0.568 0.500 0.209 As

# 3
LiTlRh2 PBE-GGA relaxed; formation enthalpy at 0 K = 0.815 eV/f.u.; calculated total energy = -4.54 eV per atom; crystal system = trigonal; space group = No. 166; spin magnetization = 0.10 μB per formula unit
1.0
1.517 0.876 8.291
-1.517 0.876 8.291
0.000 -1.752 8.291
Li Tl Rh
1 1 2
Direct
0.000 0.000 0.000 Li
0.500 0.500 0.500 Tl
0.254 0.254 0.254 Rh
0.746 0.746 0.746 Rh

# 4
Cu2PdI4 PBE-GGA relaxed; energy relative to the lowest polymorph listed for this composition = 0.0 kJ per mole of atoms; formation energy from raw total energies = -0.11 eV/atom; calculated total energy = -2.91 eV per atom; crystal system = trigonal; space group = No. 166; spin magnetization = 1.73 μB per formula unit
1.0
2.076 1.199 14.599
-2.076 1.199 14.599
0.000 -2.397 14.599
Cu Pd I
2 1 4
Direct
0.183 0.183 0.183 Cu
0.817 0.817 0.817 Cu
0.000 0.000 0.000 Pd
0.123 0.123 0.123 I
0.368 0.368 0.368 I
0.632 0.632 0.632 I
0.877 0.877 0.877 I

# 5
BaTmLu2 PBE-GGA relaxed; formation enthalpy at 0 K = 1.041 eV/f.u.; calculated total energy = -3.60 eV per atom; crystal system = trigonal; space group = No. 166; spin magnetization = 0.15 μB per formula unit
1.0
1.767 1.020 12.639
-1.767 1.020 12.639
0.000 -2.040 12.639
Ba Tm Lu
1 1 2
Direct
0.000 0.000 0.000 Ba
0.500 0.500 0.500 Tm
0.094 0.094 0.094 Lu
0.906 0.906 0.906 Lu

# 6
MnTl2Ni PBE-GGA relaxed; energy relative to the lowest polymorph listed for this composition = 0.0 kJ per mole of atoms; formation enthalpy at 0 K = 1.136 eV/f.u.; calculated total energy = -4.64 eV per atom; crystal system = tetragonal; space group = No. 99; spin magnetization = 4.49 μB per formula unit
1.0
3.193 0.000 0.000
0.000 3.193 0.000
0.000 0.000 8.103
Mn Tl Ni
1 2 1
Direct
0.000 0.000 0.000 Mn
0.000 0.000 0.377 Tl
0.500 0.500 0.738 Tl
0.500 0.500 0.138 Ni

# 7
Pm2CdHgAu4 PBE-GGA relaxed; formation enthalpy at 0 K = -4.984 eV/f.u.; calculated total energy = -3.60 eV per atom; crystal system = trigonal; space group = No. 166; spin magnetization = 0.00 μB per formula unit
1.0
2.522 1.456 8.125
-2.522 1.456 8.125
0.000 -2.912 8.125
Pm Cd Hg Au
2 1 1 4
Direct
0.248 0.248 0.248 Pm
0.752 0.752 0.752 Pm
0.000 0.000 0.000 Cd
0.500 0.500 0.500 Hg
0.121 0.121 0.121 Au
0.373 0.373 0.373 Au
0.627 0.627 0.627 Au
0.879 0.879 0.879 Au

# 8
Sc4PW PBE-GGA relaxed; formation enthalpy at 0 K = 3.707 eV/f.u.; calculated total energy = -6.66 eV per atom; crystal system = cubic; space group = No. 216; spin magnetization = 0.00 μB per formula unit
1.0
0.000 3.909 3.909
3.909 0.000 3.909
3.909 3.909 0.000
Sc P W
4 1 1
Direct
0.123 0.123 0.123 Sc
0.123 0.123 0.631 Sc
0.123 0.631 0.123 Sc
0.631 0.123 0.123 Sc
0.500 0.500 0.500 P
0.750 0.750 0.750 W

What is the calculated total energy in the third record?
-4.54 eV per atom